(1)
{"formula": "Sr3InGe4", "functional": "PBE", "state": "optimized geometry", "density_g_cm3": 4.53, "e_form_ev_per_atom": -0.39, "lattice_angstrom": [[-2.3673, 3.0859, 8.3888], [2.3673, -3.0859, 8.3888], [2.3673, 3.0859, -8.3888]], "species": ["Sr", "Sr", "Sr", "In", "Ge", "Ge", "Ge", "Ge"], "frac_coords": [[0.0000, 0.0000, 0.0000], [0.3083, 0.8083, 0.5000], [0.6917, 0.1917, 0.5000], [0.5000, 0.5000, 0.0000], [0.0722, 0.3769, 0.6953], [0.3184, 0.6231, 0.6953], [0.6816, 0.3769, 0.3047], [0.9278, 0.6231, 0.3047]]}



(2)
{"formula": "Sr2LiSi", "functional": "PBE", "state": "optimized geometry", "density_g_cm3": 2.37, "raw_formation_energy_kj_per_mol_atoms": 1, "lattice_angstrom": [[4.4125, -1.9323, 0.0000], [4.4125, 1.9323, 0.0000], [-1.2965, 0.0000, 8.6561]], "species": ["Sr", "Sr", "Li", "Si"], "frac_coords": [[0.2286, 0.2286, 0.1980], [0.7714, 0.7714, 0.8020], [0.0000, 0.0000, 0.5000], [0.5000, 0.5000, 0.0000]]}



(3)
{"formula": "NiHgCl", "functional": "PBE", "state": "optimized geometry", "density_g_cm3": 7.35, "raw_formation_energy_kj_per_mol_atoms": 4, "relative_energy_kj_per_mol_atoms": 9.1, "lattice_angstrom": [[0.0000, 3.1565, 6.3418], [1.6628, 0.0000, 6.3418], [1.6628, 3.1565, 0.0000]], "species": ["Ni", "Hg", "Cl"], "frac_coords": [[0.0000, 0.0000, 0.0000], [0.6607, 0.6607, 0.3393], [0.3835, 0.3835, 0.6165]]}



(4)
{"formula": "Tb2Nd5Ho", "functional": "PBE", "state": "optimized geometry", "density_g_cm3": 7.29, "e_form_ev_per_atom": 0.21, "relative_energy_kj_per_mol_atoms": 18.8, "lattice_angstrom": [[7.3249, -6.0791, 0.0000], [7.3249, 6.0791, 0.0000], [-2.7299, 0.0000, 6.1554]], "species": ["Tb", "Tb", "Tb", "Tb", "Nd", "Nd", "Nd", "Nd", "Nd", "Nd", "Nd", "Nd", "Nd", "Nd", "Ho", "Ho"], "frac_coords": [[0.0000, 0.0000, 0.0000], [0.0000, 0.0000, 0.5000], [0.0000, 0.5000, 0.0000], [0.5000, 0.0000, 0.5000], [0.1127, 0.6341, 0.6137], [0.2432, 0.7568, 0.2500], [0.2498, 0.2750, 0.2899], [0.2750, 0.2498, 0.7899], [0.3659, 0.8873, 0.8863], [0.6341, 0.1127, 0.1137], [0.7250, 0.7502, 0.2101], [0.7502, 0.7250, 0.7101], [0.7568, 0.2432, 0.7500], [0.8873, 0.3659, 0.3863], [0.4879, 0.5121, 0.7500], [0.5121, 0.4879, 0.2500]]}



(5)
{"formula": "Li2GeSb2", "functional": "PBE", "state": "optimized geometry", "density_g_cm3": 4.75, "raw_formation_energy_kj_per_mol_atoms": -2, "relative_energy_kj_per_mol_atoms": 19.0, "lattice_angstrom": [[-2.2052, 2.2052, 5.9332], [2.2052, -2.2052, 5.9332], [2.2052, 2.2052, -5.9332]], "species": ["Li", "Li", "Ge", "Sb", "Sb"], "frac_coords": [[0.2500, 0.7500, 0.5000], [0.7500, 0.2500, 0.5000], [0.0000, 0.0000, 0.0000], [0.3843, 0.3843, 0.0000], [0.6157, 0.6157, 0.0000]]}



(6)
{"formula": "Sc8AlC4", "functional": "PBE", "state": "optimized geometry", "density_g_cm3": 3.21, "e_form_ev_per_atom": -0.44, "lattice_angstrom": [[-5.7557, 5.7557, 1.6949], [5.7557, -5.7557, 1.6949], [5.7557, 5.7557, -1.6949]], "species": ["Sc", "Sc", "Sc", "Sc", "Sc", "Sc", "Sc", "Sc", "Al", "C", "C", "C", "C"], "frac_coords": [[0.0438, 0.6602, 0.7040], [0.3118, 0.6486, 0.9604], [0.3398, 0.0438, 0.3835], [0.3514, 0.3118, 0.6633], [0.6486, 0.6882, 0.3367], [0.6602, 0.9562, 0.6165], [0.6882, 0.3514, 0.0396], [0.9562, 0.3398, 0.2960], [0.0000, 0.0000, 0.0000], [0.1532, 0.3248, 0.4780], [0.3248, 0.8468, 0.1715], [0.6752, 0.1532, 0.8285], [0.8468, 0.6752, 0.5220]]}



(7)
{"formula": "TiGe2Ru4", "functional": "PBE", "state": "optimized geometry", "density_g_cm3": 9.41, "e_form_ev_per_atom": -0.26, "lattice_angstrom": [[2.1081, 1.2171, 6.8498], [-2.1081, 1.2171, 6.8498], [0.0000, -2.4342, 6.8498]], "species": ["Ti", "Ge", "Ge", "Ru", "Ru", "Ru", "Ru"], "frac_coords": [[0.0000, 0.0000, 0.0000], [0.2491, 0.2491, 0.2491], [0.7509, 0.7509, 0.7509], [0.1278, 0.1278, 0.1278], [0.3759, 0.3759, 0.3759], [0.6241, 0.6241, 0.6241], [0.8722, 0.8722, 0.8722]]}



What did the first record say?
{"formula": "Sr3InGe4", "functional": "PBE", "state": "optimized geometry", "density_g_cm3": 4.53, "e_form_ev_per_atom": -0.39, "lattice_angstrom": [[-2.3673, 3.0859, 8.3888], [2.3673, -3.0859, 8.3888], [2.3673, 3.0859, -8.3888]], "species": ["Sr", "Sr", "Sr", "In", "Ge", "Ge", "Ge", "Ge"], "frac_coords": [[0.0000, 0.0000, 0.0000], [0.3083, 0.8083, 0.5000], [0.6917, 0.1917, 0.5000], [0.5000, 0.5000, 0.0000], [0.0722, 0.3769, 0.6953], [0.3184, 0.6231, 0.6953], [0.6816, 0.3769, 0.3047], [0.9278, 0.6231, 0.3047]]}